Here is a PBEsol-optimized structure of Rb2BaBIr from the Alexandria database. Energies are from meta-GGA SCAN.

Geometry as CIF:
```
data_Rb2BaBIr
_symmetry_space_group_name_H-M 'P 1'
_symmetry_Int_Tables_number 1
_cell_length_a 5.571
_cell_length_b 6.225
_cell_length_c 6.225
_cell_angle_alpha 90.00
_cell_angle_beta 90.00
_cell_angle_gamma 90.00
loop_
_symmetry_equiv_pos_as_xyz
'x,y,z'
loop_
_atom_site_label
_atom_site_type_symbol
_atom_site_fract_x
_atom_site_fract_y
_atom_site_fract_z
B1 B 0.500 0.500 0.500
Ir1 Ir 0.000 0.000 0.000
Ba1 Ba 0.500 0.000 0.000
Rb1 Rb 0.000 0.000 0.500
Rb2 Rb 0.000 0.500 0.000
```

Computed properties:
- size of the total moment (μB/f.u.) = 2.4
- formation enthalpy at 0 K (meV/atom) = 1218
- energy (eV per atom) = -30.6932



Here is a PBEsol-optimized structure of Cs2ScHgBr6 from the Alexandria database. Energies are from meta-GGA SCAN.

Geometry as CIF:
```
data_Cs2ScHgBr6
_symmetry_space_group_name_H-M 'P 1'
_symmetry_Int_Tables_number 1
_cell_length_a 7.892
_cell_length_b 7.892
_cell_length_c 7.892
_cell_angle_alpha 60.00
_cell_angle_beta 60.00
_cell_angle_gamma 60.00
loop_
_symmetry_equiv_pos_as_xyz
'x,y,z'
loop_
_atom_site_label
_atom_site_type_symbol
_atom_site_fract_x
_atom_site_fract_y
_atom_site_fract_z
Cs1 Cs 0.750 0.750 0.750
Cs2 Cs 0.250 0.250 0.250
Sc1 Sc 0.000 0.000 0.000
Hg1 Hg 0.500 0.500 0.500
Br1 Br 0.764 0.236 0.236
Br2 Br 0.764 0.764 0.236
Br3 Br 0.236 0.764 0.764
Br4 Br 0.764 0.236 0.764
Br5 Br 0.236 0.764 0.236
Br6 Br 0.236 0.236 0.764
```

Computed properties:
- formation energy without anion corrections (eV/atom) = -1.606
- size of the total moment (μB/f.u.) = 0.0
- energy (eV per atom) = -29.0838



Here is a PBEsol-optimized structure of Ir2W from the Alexandria database. Energies are from meta-GGA SCAN.

Geometry as CIF:
```
data_Ir2W
_symmetry_space_group_name_H-M 'P 1'
_symmetry_Int_Tables_number 1
_cell_length_a 3.874
_cell_length_b 3.874
_cell_length_c 11.894
_cell_angle_alpha 99.37
_cell_angle_beta 99.37
_cell_angle_gamma 90.00
loop_
_symmetry_equiv_pos_as_xyz
'x,y,z'
loop_
_atom_site_label
_atom_site_type_symbol
_atom_site_fract_x
_atom_site_fract_y
_atom_site_fract_z
Ir1 Ir 0.749 0.749 0.497
Ir2 Ir 0.251 0.251 0.503
Ir3 Ir 0.999 0.499 0.997
Ir4 Ir 0.501 0.001 0.003
Ir5 Ir 0.583 0.583 0.167
Ir6 Ir 0.417 0.417 0.833
Ir7 Ir 0.833 0.333 0.667
Ir8 Ir 0.667 0.167 0.333
W1 W 0.917 0.917 0.834
W2 W 0.083 0.083 0.166
W3 W 0.167 0.667 0.334
W4 W 0.333 0.833 0.666
```

Computed properties:
- size of the total moment (μB/f.u.) = 0.0
- formation enthalpy at 0 K (meV/atom) = -324
- energy (eV per atom) = -70.9528